An optimized crystal structure of BeGa2Hg. Source: Alexandria, functional PBE.

Output
- Total DFT energy (no corrections): -2.2289 eV/atom
- Formation energy: 112.5 kJ/mol of formula units
- Excess energy over the best structure of this formula in the dataset: 0.00 eV per formula unit

Cell and atoms, written as extended XYZ:
```
8
Lattice="4.2415 0.0000 0.0000 0.0000 4.2415 0.0000 2.1208 2.1208 8.2568" Properties=species:S:1:pos:R:3 pbc="T T T"
Be 2.1208 2.1208 0.0000
Be 2.1208 4.2415 4.1284
Hg 0.0000 0.0000 0.0000
Hg 4.2415 2.1208 4.1284
Ga 2.9015 1.0604 2.0642
Ga 1.3400 3.1811 2.0642
Ga 3.1811 3.4608 6.1926
Ga 5.3019 5.0223 6.1926
```